one:
A plane-wave DFT calculation with GGA-PBE was carried out for a geometry-optimized MnAs3S structure.

```
MnAs3S
1.0
-3.806 2.457 1.259
-2.505 -3.974 0.181
1.159 -0.524 4.526
As Mn S
3 1 1
direct
0.000 0.500 0.000
0.000 0.000 0.500
0.500 0.000 0.000
0.500 0.500 0.500
0.000 0.000 0.000
```

Properties
The crystal system is cubic. Its total magnetic moment is 0.0223 μB per atom. The calculated density is 4.98 g/cm3.

two:
A plane-wave DFT calculation with GGA-PBE was carried out for a geometry-optimized MnAs3S structure.

```
MnAs3S
1.0
4.555 0.000 0.000
0.000 4.555 0.000
0.000 0.000 4.555
As Mn S
3 1 1
direct
0.000 0.500 0.000
0.000 0.000 0.500
0.500 0.000 0.000
0.000 0.000 0.000
0.500 0.500 0.500
```

Properties
The crystal system is cubic. Its total magnetic moment is 0.0000 μB per atom. The calculated density is 5.48 g/cm3.

Which structure is the most stable? The one labeled two.